No. 1
The following is a GGA-PBE calculation of NaTlGePb after structural relaxation, from Alexandria via LeMat-Bulk.

Geometry as extended XYZ:
```
16
Lattice="7.524 0.000 0.000 0.000 7.524 0.000 0.000 0.000 7.524" Properties=species:S:1:pos:R:3 pbc="T T T"
Na 0.000 0.000 0.000
Na 0.000 3.762 3.762
Na 3.762 0.000 3.762
Na 3.762 3.762 0.000
Tl 1.881 1.881 5.643
Tl 1.881 5.643 1.881
Tl 5.643 1.881 1.881
Tl 5.643 5.643 5.643
Ge 0.000 0.000 3.762
Ge 0.000 3.762 0.000
Ge 3.762 0.000 0.000
Ge 3.762 3.762 3.762
Pb 1.881 1.881 1.881
Pb 1.881 5.643 5.643
Pb 5.643 1.881 5.643
Pb 5.643 5.643 1.881
```

Output
* electronic total energy: -48.03 eV per cell
* DOS(E_F): 3.7 states/eV/cell
* space group: F-43m
* DFT formation energy: 0.0009 eV per atom

***

No. 2
The following is a GGA-PBE calculation of KTl6Sn after structural relaxation, from Alexandria via LeMat-Bulk.

Geometry as extended XYZ:
```
16
Lattice="5.713 0.000 0.000 0.000 7.135 0.000 0.000 0.000 12.229" Properties=species:S:1:pos:R:3 pbc="T T T"
K 0.000 0.000 0.000
K 0.000 3.567 6.114
Tl 0.000 0.000 6.118
Tl 0.000 1.776 9.170
Tl 0.000 1.791 3.056
Tl 0.000 3.567 0.004
Tl 0.000 5.344 3.056
Tl 0.000 5.358 9.170
Tl 2.857 0.000 2.133
Tl 2.857 1.724 5.103
Tl 2.857 1.843 11.217
Tl 2.857 3.567 8.247
Tl 2.857 5.292 11.217
Tl 2.857 5.411 5.103
Sn 2.857 0.000 8.186
Sn 2.857 3.567 2.072
```

Output
* electronic total energy: -38.76 eV per cell
* DOS(E_F): 8.3 states/eV/cell
* space group: Amm2
* relative energy among the computed polymorphs: 0.000 eV/atom
* DFT formation energy: -0.0101 eV per atom